1.
Be2ZnRh | PBEsol | relaxed

Summary:
DFT total energy: -38.32 eV per cell

Cell: 2.8838 3.7181 7.8878 Å, 90.00 90.00 90.00°
With the nearest neighbours (Å) after each atom.
Element x y z (fractional)
Be (0.0000, 0.0000, 0.0000)  2 Be 2.35, 4 Zn 2.35, 2 Rh 2.39
Be (0.0000, 0.5000, 0.2653)  2 Be 2.35, 4 Rh 2.36, 2 Zn 2.47
Be (0.5000, 0.0000, 0.7653)  2 Be 2.35, 4 Rh 2.36, 2 Zn 2.47
Be (0.5000, 0.5000, 0.5000)  2 Be 2.35, 4 Zn 2.35, 2 Rh 2.39
Zn (0.0000, 0.0000, 0.5105)  6 Be 2.35-2.47, 4 Rh 2.56-2.61
Zn (0.5000, 0.5000, 0.0105)  6 Be 2.35-2.47, 4 Rh 2.56-2.61
Rh (0.0000, 0.5000, 0.7420)  6 Be 2.36-2.39, 4 Zn 2.56-2.61
Rh (0.5000, 0.0000, 0.2420)  6 Be 2.36-2.39, 4 Zn 2.56-2.61

2.
Rb2LiGeP | PBEsol | relaxed

Summary:
DFT total energy: -11.82 eV per cell

Cell: 6.3164 6.3164 4.9323 Å, 90.00 90.00 90.00°
With the nearest neighbours (Å) after each atom.
Element x y z (fractional)
Rb (0.0000, 0.5000, 0.0000)  2 Ge 3.16
Rb (0.5000, 0.0000, 0.0000)  2 Ge 3.16
Li (0.0000, 0.0000, 0.5000)  2 Ge 2.47
Ge (0.0000, 0.0000, 0.0000)  2 Li 2.47
P (0.5000, 0.5000, 0.5000)  8 Rb 4.01, 4 Li 4.47

3.
ZnTc2Hg | PBEsol | relaxed

Summary:
DFT total energy: -24.29 eV per cell

Cell: 2.9288 2.9288 7.2745 Å, 90.00 90.00 90.00°
With the nearest neighbours (Å) after each atom.
Element x y z (fractional)
Zn (0.0000, 0.0000, 0.0000)  4 Tc 2.69, 4 Hg 2.89, 4 Zn 2.93
Tc (0.0000, 0.0000, 0.5666)  4 Tc 2.52
Tc (0.5000, 0.5000, 0.7648)  4 Tc 2.52, 4 Zn 2.69
Hg (0.5000, 0.5000, 0.2762)  4 Zn 2.89, 4 Hg 2.93, 4 Tc 2.96

4.
SrScBr2 | PBEsol | relaxed

Summary:
Uncorrected formation energy: -1024 meV per atom

Cell: 3.6755 6.5826 9.3493 Å, 90.00 90.00 90.00°
With the nearest neighbours (Å) after each atom.
Element x y z (fractional)
Sr (0.0000, 0.0000, 0.0000)  4 Br 3.25
Sr (0.5000, 0.5000, 0.5000)  4 Br 3.25
Sc (0.0000, 0.0000, 0.5000)  4 Br 2.71
Sc (0.5000, 0.5000, 0.0000)  4 Br 2.71
Br (0.0000, 0.5000, 0.2137)  2 Sc 2.71
Br (0.0000, 0.5000, 0.7863)  2 Sc 2.71
Br (0.5000, 0.0000, 0.2863)  2 Sc 2.71
Br (0.5000, 0.0000, 0.7137)  2 Sc 2.71